[1]
Material: K2BiRh2O6
Method: DFT, PBE
State: relaxed

Properties
formation energy without anion corrections = -11.9 eV per formula unit

Geometry as POSCAR:
```
K2BiRh2O6
1.0
5.686 -0.070 0.018
-2.871 4.908 0.018
-1.042 -1.792 6.196
K Bi Rh O
2 1 2 6
Direct
0.832 0.168 0.000
0.168 0.832 0.000
0.000 0.000 0.500
0.334 0.666 0.500
0.666 0.334 0.500
0.701 0.701 0.675
0.057 0.420 0.672
0.299 0.299 0.325
0.420 0.057 0.672
0.943 0.580 0.328
0.580 0.943 0.328
```

[2]
Material: KBiRhO4
Method: DFT, PBE
State: relaxed

Properties
formation energy without anion corrections = -7.3 eV per formula unit

Geometry as POSCAR:
```
KBiRhO4
1.0
-4.459 -4.653 0.932
1.100 2.229 -6.352
4.878 -3.961 3.561
K Bi Rh O
2 2 2 8
Direct
0.858 0.716 0.108
0.142 0.284 0.892
0.500 0.000 0.500
0.500 0.000 0.000
0.500 0.500 0.500
0.000 0.500 0.500
0.743 0.486 0.672
0.309 0.071 0.285
0.762 0.071 0.285
0.743 0.486 0.314
0.257 0.514 0.686
0.691 0.929 0.715
0.238 0.929 0.715
0.257 0.514 0.328
```

[3]
Material: K2BiRuO4
Method: DFT, PBE
State: relaxed

Properties
formation energy without anion corrections = -8.7 eV per formula unit

Geometry as POSCAR:
```
K2BiRuO4
1.0
5.750 0.099 0.152
-2.361 5.244 -0.152
-2.361 -2.249 4.740
K Bi Ru O
2 1 1 4
Direct
0.500 0.750 0.250
0.000 0.000 0.000
0.500 0.250 0.750
0.000 0.500 0.500
0.579 0.283 0.394
0.112 0.297 0.717
0.888 0.606 0.185
0.421 0.815 0.703
```

[4]
Material: K3Bi3RuO8
Method: DFT, PBE
State: relaxed

Properties
formation energy without anion corrections = -18.4 eV per formula unit

Geometry as POSCAR:
```
K3Bi3RuO8
1.0
-4.206 5.160 2.126
-0.408 -2.354 -6.576
-2.628 -4.392 5.460
K Bi Ru O
3 3 1 8
Direct
0.000 0.000 0.000
0.000 0.500 0.000
0.500 0.500 0.000
0.500 0.000 0.500
0.500 0.500 0.500
0.000 0.500 0.500
0.000 0.000 0.500
0.265 0.530 0.294
0.735 0.470 0.706
0.795 0.590 0.324
0.205 0.410 0.676
0.795 0.029 0.325
0.205 0.971 0.675
0.234 0.029 0.325
0.766 0.971 0.675
```

[5]
Material: KBiRuO6
Method: DFT, PBE
State: relaxed

Properties
formation energy without anion corrections = -8.7 eV per formula unit

Geometry as POSCAR:
```
KBiRuO6
1.0
5.571 0.000 0.000
2.786 4.825 0.000
0.000 0.000 5.888
K Bi Ru O
1 1 1 6
Direct
0.000 0.000 0.000
0.667 0.667 0.500
0.333 0.333 0.500
0.037 0.375 0.307
0.375 0.037 0.693
0.588 0.375 0.693
0.037 0.588 0.693
0.375 0.588 0.307
0.588 0.037 0.307
```

[6]
Material: KBi2RuO8
Method: DFT, PBE
State: relaxed

Properties
formation energy without anion corrections = -9.9 eV per formula unit

Geometry as POSCAR:
```
KBi2RuO8
1.0
5.120 0.005 -0.002
0.045 4.785 0.007
0.006 0.024 7.193
K Bi Ru O
1 2 1 8
Direct
0.000 0.000 0.500
0.500 0.498 0.759
0.500 0.502 0.241
0.000 0.000 0.000
0.134 0.760 0.189
0.679 0.772 0.999
0.862 0.235 0.187
0.866 0.240 0.811
0.321 0.228 0.001
0.138 0.765 0.813
0.547 0.753 0.500
0.453 0.247 0.500
```

[7]
Material: KBiS2O8
Method: DFT, PBE
State: relaxed

Properties
formation energy without anion corrections = -18.4 eV per formula unit

Geometry as POSCAR:
```
KBiS2O8
1.0
-4.463 -2.297 -1.172
4.391 -2.697 -0.102
-1.096 -2.098 8.282
K Bi S O
1 1 2 8
Direct
0.000 0.000 0.000
0.000 0.000 0.500
0.667 0.333 0.265
0.333 0.667 0.735
0.333 0.667 0.905
0.383 0.313 0.325
0.687 0.070 0.325
0.667 0.333 0.095
0.313 0.930 0.675
0.617 0.687 0.675
0.070 0.383 0.675
0.930 0.617 0.325
```

[8]
Material: KBiSO6
Method: DFT, PBE
State: relaxed

Properties
formation energy without anion corrections = -8.5 eV per formula unit

Geometry as POSCAR:
```
KBiSO6
1.0
5.187 0.000 0.000
2.594 4.492 0.000
0.000 0.000 5.964
K Bi S O
1 1 1 6
Direct
0.000 0.000 0.000
0.667 0.667 0.500
0.333 0.333 0.500
0.065 0.346 0.327
0.346 0.065 0.673
0.589 0.346 0.673
0.065 0.589 0.673
0.346 0.589 0.327
0.589 0.065 0.327
```

[9]
Material: K3BiSb2O9
Method: DFT, PBE
State: relaxed

Properties
formation energy without anion corrections = -20.1 eV per formula unit

Geometry as POSCAR:
```
K3BiSb2O9
1.0
-5.154 1.281 2.408
4.055 -2.807 3.111
2.611 6.269 2.255
K Bi Sb O
3 1 2 9
Direct
0.333 0.667 0.664
0.000 0.000 0.000
0.667 0.333 0.336
0.000 0.000 0.500
0.333 0.667 0.159
0.667 0.333 0.841
0.827 0.173 0.676
0.827 0.654 0.676
0.346 0.173 0.676
0.654 0.827 0.324
0.173 0.346 0.324
0.173 0.827 0.324
0.500 0.000 0.000
0.000 0.500 0.000
0.500 0.500 0.000
```

[10]
Material: KBi2SbO6
Method: DFT, PBE
State: relaxed

Properties
formation energy without anion corrections = -13.8 eV per formula unit

Geometry as POSCAR:
```
KBi2SbO6
1.0
-1.396 4.827 -3.266
-5.609 0.775 -1.963
-3.515 4.513 2.669
K Bi Sb O
1 2 1 6
Direct
0.793 0.793 0.621
0.525 0.525 0.425
0.014 0.014 0.959
0.323 0.322 0.033
0.556 0.248 0.222
0.248 0.974 0.223
0.974 0.557 0.222
0.362 0.688 0.770
0.688 0.179 0.770
0.180 0.362 0.770
```

[11]
Material: KBi2SbO8
Method: DFT, PBE
State: relaxed

Properties
formation energy without anion corrections = -11.2 eV per formula unit

Geometry as POSCAR:
```
KBi2SbO8
1.0
5.075 0.123 -0.003
0.178 4.986 -0.005
0.005 0.008 6.981
K Bi Sb O
1 2 1 8
Direct
0.000 0.000 0.500
0.500 0.500 0.752
0.500 0.500 0.248
0.000 0.000 0.000
0.171 0.780 0.207
0.682 0.734 0.000
0.829 0.220 0.207
0.829 0.220 0.793
0.318 0.266 0.000
0.171 0.780 0.793
0.634 0.708 0.500
0.366 0.292 0.500
```

[12]
Material: KBiSbO6
Method: DFT, PBE
State: relaxed

Properties
formation energy without anion corrections = -9.6 eV per formula unit

Geometry as POSCAR:
```
KBiSbO6
1.0
-2.052 -4.359 -2.786
3.899 -0.773 3.896
-8.573 -1.284 8.323
K Bi Sb O
2 2 2 12
Direct
0.000 0.000 0.000
0.000 0.000 0.500
0.333 0.667 0.250
0.667 0.333 0.750
0.667 0.333 0.250
0.333 0.667 0.750
0.631 0.613 0.154
0.982 0.369 0.154
0.369 0.982 0.654
0.018 0.631 0.846
0.387 0.369 0.346
0.982 0.613 0.346
0.613 0.982 0.846
0.631 0.018 0.346
0.018 0.387 0.654
0.387 0.018 0.154
0.613 0.631 0.654
0.369 0.387 0.846
```

no.,size of the total moment (μB per formula unit)
1,0.00
2,0.00
3,3.00
4,2.02
5,0.00
6,0.57
7,0.00
8,0.00
9,0.00
10,0.00
11,0.12
12,1.07